# Ho2Tl2Cd

An optimized crystal structure of Ho2Tl2Cd (PBE, the Alexandria database).

Results
The raw total energy comes out at -0.2363 Ry per atom. For the formation energy, the calculation gives -0.255 eV/atom. For the density of states at the Fermi level, the calculation gives 0.71 states/eV per atom. As for the space-group type: P4/mbm (127).

Unit cell a=4.4218 b=7.8087 c=7.8087 alpha=90.00 beta=90.00 gamma=90.00
With the nearest neighbours (Å) after each atom.
Fractional coordinates of all 10 atoms:
Ho  0.5000  0.8319  0.3319  6 Tl 3.09-3.26
Tl  0.0000  0.8636  0.6364  1 Tl 3.01, 2 Cd 3.03, 6 Ho 3.09-3.26
Cd  0.0000  0.0000  0.0000  4 Tl 3.03
Tl  0.0000  0.6364  0.1364  1 Tl 3.01, 2 Cd 3.03, 6 Ho 3.09-3.26
Tl  0.0000  0.1364  0.3636  1 Tl 3.01, 2 Cd 3.03, 6 Ho 3.09-3.26
Ho  0.5000  0.1681  0.6681  6 Tl 3.09-3.26
Ho  0.5000  0.3319  0.1681  6 Tl 3.09-3.26
Cd  0.0000  0.5000  0.5000  4 Tl 3.03
Tl  0.0000  0.3636  0.8636  1 Tl 3.01, 2 Cd 3.03, 6 Ho 3.09-3.26
Ho  0.5000  0.6681  0.8319  6 Tl 3.09-3.26